(1)
Rb2TiAlS4, optimized geometry, DFT PBE; Fermi-level density of states = 0.416 states/eV/atom; crystal system = orthorhombic; calculated total energy = -5.014 eV/atom
1.0
0.000 6.913 12.041
2.947 0.000 12.041
2.947 6.913 0.000
Rb Ti Al S
4 2 2 8
Direct
0.053 0.053 0.697
0.303 0.303 0.947
0.697 0.697 0.053
0.947 0.947 0.303
0.125 0.125 0.125
0.875 0.875 0.875
0.375 0.375 0.375
0.625 0.625 0.625
0.010 0.341 0.427
0.278 0.573 0.659
0.341 0.010 0.722
0.427 0.722 0.010
0.573 0.278 0.990
0.659 0.990 0.278
0.722 0.427 0.341
0.990 0.659 0.573

=====

(2)
DyY4Er4, optimized geometry, DFT PBE; energy relative to the lowest polymorph listed for this composition = 0.0840 eV/atom; Fermi-level density of states = 1.906 states/eV/atom; E_form = 0.109 eV/atom; crystal system = monoclinic; calculated total energy = -5.303 eV/atom
1.0
8.380 -2.749 0.000
8.380 2.749 0.000
-2.579 0.000 6.213
Dy Y Er
1 4 4
Direct
0.000 0.000 0.000
0.221 0.221 0.297
0.365 0.365 0.026
0.635 0.635 0.974
0.779 0.779 0.703
0.134 0.134 0.699
0.428 0.428 0.613
0.572 0.572 0.387
0.866 0.866 0.301

=====

(3)
Zr2BeW, optimized geometry, DFT PBE; Fermi-level density of states = 0.724 states/eV/atom; E_form = 0.186 eV/atom; crystal system = orthorhombic; calculated total energy = -8.257 eV/atom
1.0
3.721 0.000 0.000
0.000 4.275 0.000
0.000 0.000 8.781
Zr Be W
4 2 2
Direct
0.000 0.000 0.000
0.000 0.500 0.329
0.500 0.000 0.329
0.500 0.500 0.000
0.000 0.000 0.545
0.500 0.500 0.545
0.000 0.500 0.728
0.500 0.000 0.728

=====

Q: Number 2 is which compound?
A: DyY4Er4

=====

Q: Which value of Fermi-level density of states does entry 3 give?
A: 0.724 states/eV/atom

=====

Q: calculated total energy of number 3 (Zr2BeW)?
A: -8.257 eV/atom